Here is a relaxed structure of GaBiPS2 from the Alexandria database. Energies are from GGA-PBE.

The structure in extended XYZ format:
```
5
Lattice="5.318 0.000 0.000 0.000 5.318 0.000 0.000 0.000 5.383" Properties=species:S:1:pos:R:3 pbc="T T T"
P 0.000 0.000 2.692
S 0.000 2.659 0.000
S 2.659 0.000 0.000
Bi 0.000 0.000 0.000
Ga 2.659 2.659 2.692
```

Properties
Formation energy without anion corrections, eV per formula unit: 3.391
Crystal system: tetragonal
E above lowest polymorph, meV/atom: 383
DOS(E_F), states/eV/f.u.: 3.82
Total energy, eV/atom: -3.44
Total moment, μB/cell: 2.1
SG: P4/mmm (123)
Mass density, g cm⁻³: 4.1

Here is a relaxed structure of GaBiPS2 from the Alexandria database. Energies are from GGA-PBE.

The structure in extended XYZ format:
```
5
Lattice="4.747 0.000 0.000 0.000 4.747 0.000 0.000 0.000 4.712" Properties=species:S:1:pos:R:3 pbc="T T T"
P 0.000 0.000 2.356
S 0.000 2.373 0.000
S 2.373 0.000 0.000
Bi 2.373 2.373 2.356
Ga 0.000 0.000 0.000
```

Properties
Formation energy without anion corrections, eV per formula unit: 1.478
Crystal system: tetragonal
E above lowest polymorph, meV/atom: 0
DOS(E_F), states/eV/f.u.: 2.07
Total energy, eV/atom: -3.82
Total moment, μB/cell: 0.0
SG: P4/mmm (123)
Mass density, g cm⁻³: 5.8

Here is a relaxed structure of Sr2GaBiP from the Alexandria database. Energies are from GGA-PBE.

The structure in extended XYZ format:
```
10
Lattice="-1.621 4.216 -0.306 -1.116 0.111 7.435 9.122 3.384 -1.691" Properties=species:S:1:pos:R:3 pbc="T T T"
Sr 3.493 5.317 4.511
Sr -1.898 3.314 5.471
Sr 2.892 2.394 0.926
Sr 8.283 4.397 -0.034
Ga 6.154 3.754 2.382
Ga 0.231 3.957 3.055
Bi 1.679 2.203 4.708
Bi 4.706 5.508 0.729
P 6.146 3.919 4.692
P 0.239 3.792 0.745
```

Properties
Crystal system: monoclinic
DOS(E_F), states/eV/f.u.: 2.04
Total energy, eV/atom: -3.90
Formation energy, meV per atom: -759.7
Total moment, μB/cell: 0.0
SG: P2_1/m (11)
Mass density, g cm⁻³: 5.0

Here is a relaxed structure of GaBi2TeP from the Alexandria database. Energies are from GGA-PBE.

The structure in extended XYZ format:
```
5
Lattice="-2.324 4.914 2.215 -4.469 -0.804 -2.904 -2.317 -3.089 4.421" Properties=species:S:1:pos:R:3 pbc="T T T"
P -4.555 0.511 1.866
Te 0.000 0.000 0.000
Bi -1.159 -1.544 2.211
Bi -1.162 2.457 1.108
Ga -2.234 -0.402 -1.452
```

Properties
Formation energy without anion corrections, eV per formula unit: 5.143
Crystal system: tetragonal
DOS(E_F), states/eV/f.u.: 5.05
Total energy, eV/atom: -2.84
Total moment, μB/cell: 0.0
SG: P4/mmm (123)
Mass density, g cm⁻³: 5.8